[1]
11
Lattice="-1.665 1.000 3.971 -2.610 -4.763 -1.423 3.768 -4.023 1.065" Properties=species:S:1:pos:R:3 comment="Tm2BeF8 (PBE, optimized geometry)" spacegroup="C2/m (12)" energy_ev_per_atom=-6.3525 formation_energy_uncorrected_ev_per_atom=-3.840 pbc="T T T"
Tm -0.684 -2.154 2.394
Tm 0.177 -5.632 1.219
Be 0.000 0.000 0.000
F 1.195 -2.232 3.544
F 2.277 -5.092 1.621
F -1.184 -0.222 3.101
F 0.677 -7.564 0.512
F -2.784 -2.693 1.992
F -1.702 -5.554 0.069
F 0.145 -3.445 0.652
F -0.652 -4.340 2.961

---

[2]
14
Lattice="1.548 -5.129 2.187 3.777 2.181 3.803 -2.577 -1.073 8.410" Properties=species:S:1:pos:R:3 comment="UBeF5 (PBE, optimized geometry)" spacegroup="C2/c (15)" energy_ev_per_atom=-6.7647 formation_energy_uncorrected_ev_per_atom=-3.283 pbc="T T T"
U 0.000 0.000 0.000
U -1.289 -0.536 4.205
Be 2.257 -0.960 5.271
Be 0.491 -3.061 9.129
F 2.928 0.046 4.260
F 0.840 -1.344 4.747
F 1.092 -4.778 4.427
F 2.113 -0.236 6.663
F 0.635 -3.785 7.737
F 3.176 -2.208 5.433
F -0.428 -1.813 8.967
F 1.656 0.757 9.973
F 1.908 -2.677 9.653
F -0.180 -4.067 10.140

---

[3]
8
Lattice="-3.727 -2.176 1.765 3.173 0.884 3.301 -1.895 4.331 -0.115" Properties=species:S:1:pos:R:3 comment="UBeF6 (PBE, optimized geometry)" spacegroup="C2/m (12)" energy_ev_per_atom=-6.5469 formation_energy_uncorrected_ev_per_atom=-3.267 pbc="T T T"
U 0.000 0.000 0.000
Be -1.225 1.520 2.475
F -1.410 2.614 1.128
F -1.742 0.174 1.424
F -1.039 0.425 3.823
F -2.871 1.906 3.046
F -0.707 2.866 3.527
F 0.422 1.134 1.905